Here is Ac4GeP2Br after structural relaxation from Alexandria. Energies are from PBE.

Cell and atoms, written as POSCAR:
```
Ac4GeP2Br
1.0
7.765 0.000 0.000
0.000 4.486 0.000
-2.543 0.000 7.412
Ac Ge P Br
4 1 2 1
direct
0.230 0.000 0.228
0.246 0.500 0.761
0.754 0.500 0.239
0.770 0.000 0.772
0.000 0.000 0.500
0.000 0.500 0.000
0.500 0.000 0.000
0.500 0.500 0.500
```

Summary:
**E**: -5.511 eV/atom
**Uncorrected formation energy**: -127.2 kJ/mol of atoms

Here is Ac8Ge3PBr4 after structural relaxation from Alexandria. Energies are from PBE.

Cell and atoms, written as POSCAR:
```
Ac8Ge3PBr4
1.0
4.567 2.637 7.566
-4.567 2.637 7.566
0.000 -5.274 7.566
Ac Ge P Br
8 3 1 4
direct
0.240 0.240 0.240
0.244 0.736 0.736
0.264 0.264 0.756
0.264 0.756 0.264
0.736 0.244 0.736
0.736 0.736 0.244
0.756 0.264 0.264
0.760 0.760 0.760
0.000 0.000 0.500
0.000 0.500 0.000
0.500 0.000 0.000
0.500 0.500 0.500
0.000 0.000 0.000
0.000 0.500 0.500
0.500 0.000 0.500
0.500 0.500 0.000
```

Summary:
**E**: -4.892 eV/atom
**Uncorrected formation energy**: -117.3 kJ/mol of atoms

Here is Ac4GePbBr2 after structural relaxation from Alexandria. Energies are from PBE.

Cell and atoms, written as POSCAR:
```
Ac4GePbBr2
1.0
7.806 0.000 0.000
0.000 4.757 0.000
-2.931 0.000 7.790
Ac Ge Pb Br
4 1 1 2
direct
0.228 0.000 0.230
0.235 0.500 0.761
0.765 0.500 0.239
0.772 0.000 0.770
0.000 0.500 0.000
0.000 0.000 0.500
0.500 0.000 0.000
0.500 0.500 0.500
```

Summary:
**E**: -4.543 eV/atom
**Uncorrected formation energy**: -99.4 kJ/mol of atoms

Here is Ac4GePdBr2 after structural relaxation from Alexandria. Energies are from PBE.

Cell and atoms, written as POSCAR:
```
Ac4GePdBr2
1.0
7.998 0.000 0.000
0.000 4.439 0.000
-2.454 0.000 7.780
Ac Ge Pd Br
4 1 1 2
direct
0.208 0.000 0.227
0.221 0.500 0.740
0.779 0.500 0.260
0.792 0.000 0.773
0.000 0.000 0.500
0.000 0.500 0.000
0.500 0.000 0.000
0.500 0.500 0.500
```

Summary:
**E**: -4.765 eV/atom
**Uncorrected formation energy**: -102.8 kJ/mol of atoms

Here is Ac8GePt3Br4 after structural relaxation from Alexandria. Energies are from PBE.

Cell and atoms, written as POSCAR:
```
Ac8GePt3Br4
1.0
7.817 -4.513 0.000
7.817 4.513 0.000
-5.221 0.000 8.084
Ac Ge Pt Br
8 1 3 4
direct
0.223 0.739 0.700
0.233 0.233 0.699
0.261 0.261 0.300
0.261 0.777 0.300
0.739 0.223 0.700
0.739 0.739 0.700
0.767 0.767 0.301
0.777 0.261 0.300
0.500 0.500 0.500
0.000 0.000 0.500
0.000 0.500 0.500
0.500 0.000 0.500
0.000 0.000 0.000
0.000 0.500 0.000
0.500 0.000 0.000
0.500 0.500 0.000
```

Summary:
**E**: -5.141 eV/atom
**Uncorrected formation energy**: -120.4 kJ/mol of atoms

Here is Ac4GePtBr2 after structural relaxation from Alexandria. Energies are from PBE.

Cell and atoms, written as POSCAR:
```
Ac4GePtBr2
1.0
8.120 0.000 0.000
0.000 4.434 0.000
-2.445 0.000 7.779
Ac Ge Pt Br
4 1 1 2
direct
0.201 0.000 0.220
0.217 0.500 0.742
0.783 0.500 0.258
0.799 0.000 0.780
0.000 0.000 0.500
0.000 0.500 0.000
0.500 0.000 0.000
0.500 0.500 0.500
```

Summary:
**E**: -4.993 eV/atom
**Uncorrected formation energy**: -114.6 kJ/mol of atoms

Here is Ac6Ge2PtBr3 after structural relaxation from Alexandria. Energies are from PBE.

Cell and atoms, written as POSCAR:
```
Ac6Ge2PtBr3
1.0
10.026 -2.256 0.000
10.026 2.256 0.000
-2.109 0.000 9.199
Ac Ge Pt Br
6 2 1 3
direct
0.005 0.005 0.221
0.327 0.327 0.433
0.344 0.344 0.900
0.656 0.656 0.100
0.673 0.673 0.567
0.995 0.995 0.779
0.165 0.165 0.336
0.835 0.835 0.664
0.500 0.500 0.000
0.174 0.174 0.836
0.500 0.500 0.500
0.826 0.826 0.164
```

Summary:
**E**: -4.916 eV/atom
**Uncorrected formation energy**: -113.0 kJ/mol of atoms

Here is Ac6Ge2RhBr3 after structural relaxation from Alexandria. Energies are from PBE.

Cell and atoms, written as POSCAR:
```
Ac6Ge2RhBr3
1.0
9.997 -2.240 0.000
9.997 2.240 0.000
-2.294 0.000 9.242
Ac Ge Rh Br
6 2 1 3
direct
0.003 0.003 0.219
0.326 0.326 0.432
0.350 0.350 0.898
0.650 0.650 0.102
0.674 0.674 0.568
0.997 0.997 0.781
0.163 0.163 0.338
0.837 0.837 0.662
0.500 0.500 0.000
0.177 0.177 0.841
0.500 0.500 0.500
0.823 0.823 0.159
```

Summary:
**E**: -4.959 eV/atom
**Uncorrected formation energy**: -106.5 kJ/mol of atoms

Here is Ac4GeRhBr2 after structural relaxation from Alexandria. Energies are from PBE.

Cell and atoms, written as POSCAR:
```
Ac4GeRhBr2
1.0
8.029 0.000 0.000
0.000 4.393 0.000
-2.324 0.000 7.937
Ac Ge Rh Br
4 1 1 2
direct
0.219 0.000 0.199
0.250 0.500 0.796
0.750 0.500 0.204
0.781 0.000 0.801
0.500 0.000 0.000
0.000 0.500 0.000
0.000 0.000 0.500
0.500 0.500 0.500
```

Summary:
**E**: -5.057 eV/atom
**Uncorrected formation energy**: -105.1 kJ/mol of atoms

Here is Ac8GeRh3Br4 after structural relaxation from Alexandria. Energies are from PBE.

Cell and atoms, written as POSCAR:
```
Ac8GeRh3Br4
1.0
4.441 2.564 8.155
-4.441 2.564 8.155
0.000 -5.128 8.155
Ac Ge Rh Br
8 1 3 4
direct
0.218 0.739 0.739
0.233 0.233 0.233
0.261 0.261 0.782
0.261 0.782 0.261
0.739 0.218 0.739
0.739 0.739 0.218
0.767 0.767 0.767
0.782 0.261 0.261
0.500 0.500 0.500
0.000 0.000 0.500
0.000 0.500 0.000
0.500 0.000 0.000
0.000 0.000 0.000
0.000 0.500 0.500
0.500 0.000 0.500
0.500 0.500 0.000
```

Summary:
**E**: -5.237 eV/atom
**Uncorrected formation energy**: -105.9 kJ/mol of atoms

Here is Ac6GeRh2Br3 after structural relaxation from Alexandria. Energies are from PBE.

Cell and atoms, written as POSCAR:
```
Ac6GeRh2Br3
1.0
3.865 -6.693 0.000
3.865 6.693 0.000
-2.569 0.000 8.128
Ac Ge Rh Br
6 1 2 3
direct
0.085 0.434 0.801
0.217 0.217 0.199
0.434 0.085 0.801
0.566 0.915 0.199
0.783 0.783 0.801
0.915 0.566 0.199
0.500 0.500 0.000
0.167 0.833 0.000
0.833 0.167 0.000
0.000 0.000 0.500
0.337 0.663 0.500
0.663 0.337 0.500
```

Summary:
**E**: -5.175 eV/atom
**Uncorrected formation energy**: -105.4 kJ/mol of atoms

Here is Ac6GeRh2Br2 after structural relaxation from Alexandria. Energies are from PBE.

Cell and atoms, written as POSCAR:
```
Ac6GeRh2Br2
1.0
3.952 -6.631 0.000
3.952 6.631 0.000
-2.427 0.000 7.687
Ac Ge Rh Br
6 1 2 2
direct
0.084 0.426 0.789
0.212 0.212 0.207
0.426 0.084 0.789
0.574 0.916 0.211
0.788 0.788 0.793
0.916 0.574 0.211
0.500 0.500 0.000
0.170 0.830 0.000
0.830 0.170 0.000
0.342 0.658 0.500
0.658 0.342 0.500
```

Summary:
**E**: -5.192 eV/atom
**Uncorrected formation energy**: -85.9 kJ/mol of atoms

Among the records above, which one has the lowest uncorrected formation energy? Ac4GeP2Br

Look up the E of the eleventh one. -5.175 eV/atom

Which of these has the lowest uncorrected formation energy? Ac4GeP2Br

Which of these has the highest E? Ac4GePbBr2